Below is crystalline Cr3InSi at its relaxed geometry, with properties calculated at the PBEsol level.

Geometry as CIF:
```
data_Cr3InSi
_symmetry_space_group_name_H-M 'P m -3 m'
_symmetry_Int_Tables_number 221
_symmetry_space_group_name_Hall '-P 4 2 3'
_cell_length_a 4.374
_cell_length_b 4.374
_cell_length_c 4.374
_cell_angle_alpha 90.00
_cell_angle_beta 90.00
_cell_angle_gamma 90.00
loop_
_atom_site_label
_atom_site_type_symbol
_atom_site_fract_x
_atom_site_fract_y
_atom_site_fract_z
Cr1 Cr 0.000 0.000 0.500
In1 In 0.500 0.500 0.500
Si1 Si 0.000 0.000 0.000
```

As for the calculated volume: 83.7 Å³/cell. The uncorrected energy is -7.13 eV per atom. The calculation puts the density of states at the Fermi level at 2.85 states/eV/f.u. The calculation puts the spin magnetization at 1.4577 μB/atom. The calculation puts the formation energy (no corrections) at 367 kJ/mol of formula units. The crystal system is cubic.